# Ce7Al2, relaxed, DFT PBE-GGA
data_Ce7Al2
_chemical_formula_sum 'Ce7 Al2'
_cell_length_a 5.3286
_cell_length_b 5.3286
_cell_length_c 9.2480
_cell_angle_alpha 90.00
_cell_angle_beta 90.00
_cell_angle_gamma 120.00
_space_group_name_H-M_alt 'P -3 m 1'
_space_group_IT_number 164
_space_group_name_Hall '-P 3 2"'
loop_
_atom_site_label
_atom_site_type_symbol
_atom_site_fract_x
_atom_site_fract_y
_atom_site_fract_z
Ce1 Ce 0.0000 0.0000 0.0000
Ce2 Ce 0.0000 0.0000 0.3073
Ce3 Ce 0.3333 0.6667 0.1260
Ce4 Ce 0.3333 0.6667 0.4181
Al1 Al 0.3333 0.6667 0.7726
# - formation energy (meV/atom) = -55
# - volume (Å³ per cell) = 227